! YBiH2 PBE relaxed; values from VASP
&SYSTEM
  ibrav = 0, nat = 4, ntyp = 3
/
ATOMIC_SPECIES
Y 88.91 Y.upf
H 1.01 H.upf
Bi 208.98 Bi.upf
CELL_PARAMETERS angstrom
-1.6317 -3.2238 -0.2707
1.9687 -3.0409 0.0797
-0.4715 -2.2899 6.0413
ATOMIC_POSITIONS crystal
Y 0.6823 0.6823 0.9547
H 0.3134 0.3134 0.0622
H 0.0080 0.0080 0.9778
Bi 0.4963 0.4963 0.5053
! Size of the total moment = 0.000 μB/f.u.
! Relative energy among the computed polymorphs = 0.00 eV per formula unit

***

! In2NiOs PBE relaxed; values from VASP
&SYSTEM
  ibrav = 0, nat = 4, ntyp = 3
/
ATOMIC_SPECIES
Os 190.23 Os.upf
In 114.82 In.upf
Ni 58.69 Ni.upf
CELL_PARAMETERS angstrom
3.1409 0.0000 0.0000
0.0000 5.1146 -0.0021
0.0000 3.4589 4.2665
ATOMIC_POSITIONS crystal
Os 0.0000 0.0000 0.5000
In 0.5000 0.5000 0.0000
In 0.0000 0.0000 0.0000
Ni 0.5000 0.5000 0.5000
! ΔE_f = 0.4156 eV/atom
! Size of the total moment = 0.000 μB/f.u.